Entry 1:
AlCuSi6, relaxed, DFT PBE-GGA; SG = P4/mmm, No. 123; E_tot = -37.092 eV per cell; formation energy (no corrections) = 3.28 eV/f.u.
1.0
3.4714 0.0000 0.0000
0.0000 3.4714 0.0000
0.0000 0.0000 10.6321
Al Cu Si
1 1 6
Cartesian
0.0000 0.0000 0.0000 Al
0.0000 0.0000 5.3161 Cu
0.0000 1.7357 2.0856 Si
0.0000 1.7357 8.5465 Si
1.7357 0.0000 2.0856 Si
1.7357 0.0000 8.5465 Si
1.7357 1.7357 4.0981 Si
1.7357 1.7357 6.5340 Si

***

Entry 2:
Tm2SiHPt6, relaxed, DFT PBE-GGA; SG = C2/m, No. 12; E_tot = -63.307 eV per cell
1.0
4.8653 -2.8082 0.0000
4.8653 2.8082 0.0000
-3.2560 0.0000 5.9599
Tm Si H Pt
2 1 1 6
Cartesian
1.6170 0.0000 0.8551 Tm
4.8575 0.0000 5.1048 Tm
4.8653 0.0000 0.0000 Si
-1.6280 0.0000 2.9799 H
0.0019 0.0000 4.1757 Pt
2.4223 1.3960 4.1785 Pt
4.0522 1.3960 1.7813 Pt
2.4223 -1.3960 4.1785 Pt
4.0522 -1.3960 1.7813 Pt
6.4726 0.0000 1.7842 Pt